# 1
# meta-GGA SCAN Na2YTaTc, single point on PBEsol structure
# - crystal system = tetragonal
# - density (kg/m3) = 4535
# - final energy (eV/atom) = -25.509
# - magnetization (Bohr magnetons per cell) = 2.09
data_Na2YTaTc
_symmetry_space_group_name_H-M 'P 4/m m m'
_symmetry_Int_Tables_number 123
_symmetry_space_group_name_Hall '-P 4 2'
_cell_length_a 5.4124
_cell_length_b 5.4124
_cell_length_c 5.1722
_cell_angle_alpha 90.00
_cell_angle_beta 90.00
_cell_angle_gamma 90.00
loop_
_atom_site_label
_atom_site_type_symbol
_atom_site_fract_x
_atom_site_fract_y
_atom_site_fract_z
Na1 Na 0.0000 0.5000 0.0000
Y1 Y 0.0000 0.0000 0.5000
Ta1 Ta 0.0000 0.0000 0.0000
Tc1 Tc 0.5000 0.5000 0.5000

***

# 2
# meta-GGA SCAN Al2AgBr, single point on PBEsol structure
# - crystal system = cubic
# - polymorph energy (0 for the lowest one) (meV/atom) = 197
# - formation energy without anion corrections (eV per atom) = 0.4212
# - density (kg/m3) = 4853
# - magnetization (Bohr magnetons per cell) = 0.00
data_Al2AgBr
_symmetry_space_group_name_H-M 'F m -3 m'
_symmetry_Int_Tables_number 225
_symmetry_space_group_name_Hall '-F 4 2 3'
_cell_length_a 6.9163
_cell_length_b 6.9163
_cell_length_c 6.9163
_cell_angle_alpha 90.00
_cell_angle_beta 90.00
_cell_angle_gamma 90.00
loop_
_atom_site_label
_atom_site_type_symbol
_atom_site_fract_x
_atom_site_fract_y
_atom_site_fract_z
Al1 Al 0.2500 0.2500 0.2500
Ag1 Ag 0.0000 0.0000 0.0000
Br1 Br 0.0000 0.0000 0.5000

***

# 3
# meta-GGA SCAN Zn2BiH, single point on PBEsol structure
# - crystal system = cubic
# - density (kg/m3) = 8155
# - final energy (eV/atom) = -26.638
# - magnetization (Bohr magnetons per cell) = 1.20
data_Zn2BiH
_symmetry_space_group_name_H-M 'F m -3 m'
_symmetry_Int_Tables_number 225
_symmetry_space_group_name_Hall '-F 4 2 3'
_cell_length_a 6.5233
_cell_length_b 6.5233
_cell_length_c 6.5233
_cell_angle_alpha 90.00
_cell_angle_beta 90.00
_cell_angle_gamma 90.00
loop_
_atom_site_label
_atom_site_type_symbol
_atom_site_fract_x
_atom_site_fract_y
_atom_site_fract_z
Zn1 Zn 0.2500 0.2500 0.2500
Bi1 Bi 0.0000 0.0000 0.0000
H1 H 0.0000 0.0000 0.5000

***

# 4
# meta-GGA SCAN LiSc2Pd2, single point on PBEsol structure
# - crystal system = tetragonal
# - density (kg/m3) = 5601
# - final energy (eV/atom) = -20.037
# - magnetization (Bohr magnetons per cell) = 0.00
data_LiSc2Pd2
_symmetry_space_group_name_H-M 'P 4/m b m'
_symmetry_Int_Tables_number 127
_symmetry_space_group_name_Hall '-P 4 2ab'
_cell_length_a 7.5112
_cell_length_b 7.5112
_cell_length_c 3.2546
_cell_angle_alpha 90.00
_cell_angle_beta 90.00
_cell_angle_gamma 90.00
loop_
_atom_site_label
_atom_site_type_symbol
_atom_site_fract_x
_atom_site_fract_y
_atom_site_fract_z
Li1 Li 0.0000 0.0000 0.0000
Sc1 Sc 0.1582 0.3418 0.5000
Pd1 Pd 0.1376 0.6376 0.0000

***

# 5
# meta-GGA SCAN HfSc2Cr, single point on PBEsol structure
# - crystal system = cubic
# - density (kg/m3) = 6708
# - final energy (eV/atom) = -27.208
# - magnetization (Bohr magnetons per cell) = 7.01
data_HfSc2Cr
_symmetry_space_group_name_H-M 'F m -3 m'
_symmetry_Int_Tables_number 225
_symmetry_space_group_name_Hall '-F 4 2 3'
_cell_length_a 6.8202
_cell_length_b 6.8202
_cell_length_c 6.8202
_cell_angle_alpha 90.00
_cell_angle_beta 90.00
_cell_angle_gamma 90.00
loop_
_atom_site_label
_atom_site_type_symbol
_atom_site_fract_x
_atom_site_fract_y
_atom_site_fract_z
Hf1 Hf 0.0000 0.0000 0.0000
Sc1 Sc 0.2500 0.2500 0.2500
Cr1 Cr 0.0000 0.0000 0.5000

***

# 6
# meta-GGA SCAN RbTcAg3, single point on PBEsol structure
# - crystal system = cubic
# - polymorph energy (0 for the lowest one) (meV/atom) = 0
# - density (kg/m3) = 6097
# - magnetization (Bohr magnetons per cell) = 3.19
data_RbTcAg3
_symmetry_space_group_name_H-M 'P m -3 m'
_symmetry_Int_Tables_number 221
_symmetry_space_group_name_Hall '-P 4 2 3'
_cell_length_a 5.1689
_cell_length_b 5.1689
_cell_length_c 5.1689
_cell_angle_alpha 90.00
_cell_angle_beta 90.00
_cell_angle_gamma 90.00
loop_
_atom_site_label
_atom_site_type_symbol
_atom_site_fract_x
_atom_site_fract_y
_atom_site_fract_z
Rb1 Rb 0.0000 0.0000 0.0000
Tc1 Tc 0.5000 0.5000 0.5000
Ag1 Ag 0.0000 0.5000 0.5000

***

# 7
# meta-GGA SCAN YRuS3, single point on PBEsol structure
# - crystal system = cubic
# - formation energy without anion corrections (eV per atom) = 0.2307
# - density (kg/m3) = 3635
# - magnetization (Bohr magnetons per cell) = 4.00
data_YRuS3
_symmetry_space_group_name_H-M 'P m -3 m'
_symmetry_Int_Tables_number 221
_symmetry_space_group_name_Hall '-P 4 2 3'
_cell_length_a 5.0751
_cell_length_b 5.0751
_cell_length_c 5.0751
_cell_angle_alpha 90.00
_cell_angle_beta 90.00
_cell_angle_gamma 90.00
loop_
_atom_site_label
_atom_site_type_symbol
_atom_site_fract_x
_atom_site_fract_y
_atom_site_fract_z
Y1 Y 0.0000 0.0000 0.0000
Ru1 Ru 0.5000 0.5000 0.5000
S1 S 0.0000 0.0000 0.5000

***

# 8
# meta-GGA SCAN Sr2BSb2, single point on PBEsol structure
# - crystal system = tetragonal
# - formation energy without anion corrections (eV per atom) = 0.1774
# - density (kg/m3) = 4745
# - magnetization (Bohr magnetons per cell) = 2.19
data_Sr2BSb2
_symmetry_space_group_name_H-M 'I 4/m m m'
_symmetry_Int_Tables_number 139
_symmetry_space_group_name_Hall '-I 4 2'
_cell_length_a 4.0969
_cell_length_b 4.0969
_cell_length_c 17.9116
_cell_angle_alpha 90.00
_cell_angle_beta 90.00
_cell_angle_gamma 90.00
loop_
_atom_site_label
_atom_site_type_symbol
_atom_site_fract_x
_atom_site_fract_y
_atom_site_fract_z
Sr1 Sr 0.0000 0.0000 0.0942
B1 B 0.0000 0.0000 0.5000
Sb1 Sb 0.0000 0.5000 0.2500

***

# 9
# meta-GGA SCAN RbTe2Ru, single point on PBEsol structure
# - crystal system = tetragonal
# - formation energy without anion corrections (eV per atom) = -0.3641
# - density (kg/m3) = 5630
# - magnetization (Bohr magnetons per cell) = 0.00
data_RbTe2Ru
_symmetry_space_group_name_H-M 'I -4 2 d'
_symmetry_Int_Tables_number 122
_symmetry_space_group_name_Hall 'I -4 2bw'
_cell_length_a 8.0819
_cell_length_b 8.0819
_cell_length_c 7.9784
_cell_angle_alpha 90.00
_cell_angle_beta 90.00
_cell_angle_gamma 90.00
loop_
_atom_site_label
_atom_site_type_symbol
_atom_site_fract_x
_atom_site_fract_y
_atom_site_fract_z
Rb1 Rb 0.0000 0.0000 0.0000
Te1 Te 0.1401 0.7500 0.6250
Ru1 Ru 0.0000 0.0000 0.5000

***

# 10
# meta-GGA SCAN BaH4Cl2O2, single point on PBEsol structure
# - crystal system = monoclinic
# - density (kg/m3) = 2985
# - final energy (eV/atom) = -10.724
# - magnetization (Bohr magnetons per cell) = 0.00
data_BaH4Cl2O2
_symmetry_space_group_name_H-M 'P 1 21/c 1'
_symmetry_Int_Tables_number 14
_symmetry_space_group_name_Hall '-P 2ybc'
_cell_length_a 5.9702
_cell_length_b 11.1383
_cell_length_c 8.1750
_cell_angle_alpha 90.00
_cell_angle_beta 90.54
_cell_angle_gamma 90.00
loop_
_atom_site_label
_atom_site_type_symbol
_atom_site_fract_x
_atom_site_fract_y
_atom_site_fract_z
Ba1 Ba 0.1448 0.1761 0.1685
H1 H 0.2369 0.0413 0.5611
H2 H 0.3510 0.0728 0.8339
H3 H 0.4063 0.1150 0.4561
H4 H 0.4464 0.6561 0.6249
Cl1 Cl 0.1159 0.6087 0.6605
Cl2 Cl 0.3402 0.5981 0.2204
O1 O 0.2489 0.1167 0.4962
O2 O 0.3861 0.1540 0.8789

***

# 11
# meta-GGA SCAN ZnFe2Os, single point on PBEsol structure
# - crystal system = tetragonal
# - density (kg/m3) = 12434
# - final energy (eV/atom) = -30.275
# - magnetization (Bohr magnetons per cell) = 4.18
data_ZnFe2Os
_symmetry_space_group_name_H-M 'P 4 m m'
_symmetry_Int_Tables_number 99
_symmetry_space_group_name_Hall 'P 4 -2'
_cell_length_a 2.6195
_cell_length_b 2.6195
_cell_length_c 7.1487
_cell_angle_alpha 90.00
_cell_angle_beta 90.00
_cell_angle_gamma 90.00
loop_
_atom_site_label
_atom_site_type_symbol
_atom_site_fract_x
_atom_site_fract_y
_atom_site_fract_z
Zn1 Zn 0.0000 0.0000 0.0000
Fe1 Fe 0.0000 0.0000 0.4937
Fe2 Fe 0.5000 0.5000 0.2539
Os1 Os 0.5000 0.5000 0.7195

***

# 12
# meta-GGA SCAN LaCr2Ag, single point on PBEsol structure
# - crystal system = monoclinic
# - polymorph energy (0 for the lowest one) (meV/atom) = 495
# - density (kg/m3) = 7468
# - magnetization (Bohr magnetons per cell) = 0.00
data_LaCr2Ag
_symmetry_space_group_name_H-M 'C 1 2/m 1'
_symmetry_Int_Tables_number 12
_symmetry_space_group_name_Hall '-C 2y'
_cell_length_a 9.6549
_cell_length_b 3.0834
_cell_length_c 5.4920
_cell_angle_alpha 90.00
_cell_angle_beta 107.42
_cell_angle_gamma 90.00
loop_
_atom_site_label
_atom_site_type_symbol
_atom_site_fract_x
_atom_site_fract_y
_atom_site_fract_z
La1 La 0.0000 0.0000 0.0000
Cr1 Cr 0.2364 0.0000 0.6223
Ag1 Ag 0.0000 0.5000 0.5000

***

# 13
# meta-GGA SCAN LiCoPO4, single point on PBEsol structure
# - crystal system = orthorhombic
# - polymorph energy (0 for the lowest one) (meV/atom) = 8
# - formation energy without anion corrections (eV per atom) = -2.2202
# - density (kg/m3) = 3980
# - magnetization (Bohr magnetons per cell) = 12.00
data_LiCoPO4
_symmetry_space_group_name_H-M 'C m c m'
_symmetry_Int_Tables_number 63
_symmetry_space_group_name_Hall '-C 2c 2'
_cell_length_a 5.4488
_cell_length_b 8.1685
_cell_length_c 6.0306
_cell_angle_alpha 90.00
_cell_angle_beta 90.00
_cell_angle_gamma 90.00
loop_
_atom_site_label
_atom_site_type_symbol
_atom_site_fract_x
_atom_site_fract_y
_atom_site_fract_z
Li1 Li 0.0000 0.1689 0.2500
Co1 Co 0.0000 0.5000 0.0000
P1 P 0.0000 0.1500 0.7500
O1 O 0.0000 0.2564 0.5412
O2 O 0.2278 0.0315 0.7500

***

# 14
# meta-GGA SCAN RbCdH3, single point on PBEsol structure
# - crystal system = cubic
# - density (kg/m3) = 4826
# - final energy (eV/atom) = -12.389
# - magnetization (Bohr magnetons per cell) = 0.00
data_RbCdH3
_symmetry_space_group_name_H-M 'P m -3 m'
_symmetry_Int_Tables_number 221
_symmetry_space_group_name_Hall '-P 4 2 3'
_cell_length_a 4.1040
_cell_length_b 4.1040
_cell_length_c 4.1040
_cell_angle_alpha 90.00
_cell_angle_beta 90.00
_cell_angle_gamma 90.00
loop_
_atom_site_label
_atom_site_type_symbol
_atom_site_fract_x
_atom_site_fract_y
_atom_site_fract_z
Rb1 Rb 0.0000 0.0000 0.0000
Cd1 Cd 0.5000 0.5000 0.5000
H1 H 0.0000 0.5000 0.5000

***

# 15
# meta-GGA SCAN SiTeCl2, single point on PBEsol structure
# - crystal system = orthorhombic
# - formation energy without anion corrections (eV per atom) = 0.0039
# - density (kg/m3) = 3987
# - magnetization (Bohr magnetons per cell) = 0.00
data_SiTeCl2
_symmetry_space_group_name_H-M 'C m m m'
_symmetry_Int_Tables_number 65
_symmetry_space_group_name_Hall '-C 2 2'
_cell_length_a 3.1392
_cell_length_b 5.6705
_cell_length_c 10.6025
_cell_angle_alpha 90.00
_cell_angle_beta 90.00
_cell_angle_gamma 90.00
loop_
_atom_site_label
_atom_site_type_symbol
_atom_site_fract_x
_atom_site_fract_y
_atom_site_fract_z
Si1 Si 0.0000 0.0000 0.0000
Te1 Te 0.0000 0.0000 0.5000
Cl1 Cl 0.0000 0.5000 0.1733

***

# 16
# meta-GGA SCAN Ti4Ga3Ni2, single point on PBEsol structure
# - crystal system = hexagonal
# - density (kg/m3) = 6845
# - final energy (eV/atom) = -16.681
# - magnetization (Bohr magnetons per cell) = 0.00
data_Ti4Ga3Ni2
_symmetry_space_group_name_H-M 'P -6 2 m'
_symmetry_Int_Tables_number 189
_symmetry_space_group_name_Hall 'P -6 -2'
_cell_length_a 7.2577
_cell_length_b 7.2577
_cell_length_c 2.7549
_cell_angle_alpha 90.00
_cell_angle_beta 90.00
_cell_angle_gamma 120.00
loop_
_atom_site_label
_atom_site_type_symbol
_atom_site_fract_x
_atom_site_fract_y
_atom_site_fract_z
Ti1 Ti 0.0000 0.0000 0.0000
Ti2 Ti 0.0000 0.6341 0.0000
Ga1 Ga 0.0000 0.3139 0.5000
Ni1 Ni 0.3333 0.6667 0.5000

***

# 17
# meta-GGA SCAN TlI, single point on PBEsol structure
# - crystal system = cubic
# - polymorph energy (0 for the lowest one) (meV/atom) = 27
# - formation energy without anion corrections (eV per atom) = -0.6348
# - density (kg/m3) = 7847
# - magnetization (Bohr magnetons per cell) = 0.00
data_TlI
_symmetry_space_group_name_H-M 'P m -3 m'
_symmetry_Int_Tables_number 221
_symmetry_space_group_name_Hall '-P 4 2 3'
_cell_length_a 4.1234
_cell_length_b 4.1234
_cell_length_c 4.1234
_cell_angle_alpha 90.00
_cell_angle_beta 90.00
_cell_angle_gamma 90.00
loop_
_atom_site_label
_atom_site_type_symbol
_atom_site_fract_x
_atom_site_fract_y
_atom_site_fract_z
Tl1 Tl 0.0000 0.0000 0.0000
I1 I 0.5000 0.5000 0.5000

***

# 18
# meta-GGA SCAN TeAu2S, single point on PBEsol structure
# - crystal system = tetragonal
# - formation energy without anion corrections (eV per atom) = 0.0258
# - density (kg/m3) = 9213
# - magnetization (Bohr magnetons per cell) = 0.00
data_TeAu2S
_symmetry_space_group_name_H-M 'I -4 2 d'
_symmetry_Int_Tables_number 122
_symmetry_space_group_name_Hall 'I -4 2bw'
_cell_length_a 5.8259
_cell_length_b 5.8259
_cell_length_c 11.7592
_cell_angle_alpha 90.00
_cell_angle_beta 90.00
_cell_angle_gamma 90.00
loop_
_atom_site_label
_atom_site_type_symbol
_atom_site_fract_x
_atom_site_fract_y
_atom_site_fract_z
Te1 Te 0.0000 0.0000 0.0000
Au1 Au 0.2089 0.2500 0.6250
S1 S 0.0000 0.0000 0.5000

***

# 19
# meta-GGA SCAN La2Sc, single point on PBEsol structure
# - crystal system = tetragonal
# - polymorph energy (0 for the lowest one) (meV/atom) = 30
# - density (kg/m3) = 5902
# - magnetization (Bohr magnetons per cell) = 0.88
data_La2Sc
_symmetry_space_group_name_H-M 'I 4/m m m'
_symmetry_Int_Tables_number 139
_symmetry_space_group_name_Hall '-I 4 2'
_cell_length_a 3.5813
_cell_length_b 3.5813
_cell_length_c 14.1610
_cell_angle_alpha 90.00
_cell_angle_beta 90.00
_cell_angle_gamma 90.00
loop_
_atom_site_label
_atom_site_type_symbol
_atom_site_fract_x
_atom_site_fract_y
_atom_site_fract_z
La1 La 0.0000 0.0000 0.1625
Sc1 Sc 0.0000 0.0000 0.5000

***

# 20
# meta-GGA SCAN Mo3AsPd, single point on PBEsol structure
# - crystal system = cubic
# - polymorph energy (0 for the lowest one) (meV/atom) = 751
# - density (kg/m3) = 7671
# - magnetization (Bohr magnetons per cell) = 0.00
data_Mo3AsPd
_symmetry_space_group_name_H-M 'P m -3 m'
_symmetry_Int_Tables_number 221
_symmetry_space_group_name_Hall '-P 4 2 3'
_cell_length_a 4.6656
_cell_length_b 4.6656
_cell_length_c 4.6656
_cell_angle_alpha 90.00
_cell_angle_beta 90.00
_cell_angle_gamma 90.00
loop_
_atom_site_label
_atom_site_type_symbol
_atom_site_fract_x
_atom_site_fract_y
_atom_site_fract_z
Mo1 Mo 0.0000 0.0000 0.5000
As1 As 0.5000 0.5000 0.5000
Pd1 Pd 0.0000 0.0000 0.0000